# 1
! Dy12ErNi6 | the Alexandria database | PBE-GGA | optimized geometry; values from VASP
&SYSTEM
  ibrav = 0, nat = 19, ntyp = 3
/
ATOMIC_SPECIES
Dy 162.50 Dy.upf
Ni 58.69 Ni.upf
Er 167.26 Er.upf
CELL_PARAMETERS angstrom
-7.1593 -1.7837 -4.2397
0.1895 -4.4552 7.2475
0.2469 8.3183 1.7766
ATOMIC_POSITIONS crystal
Dy 0.3108 0.4952 0.1844
Dy 0.8736 0.1844 0.6892
Dy 0.5048 0.8156 0.6892
Dy 0.8156 0.6892 0.5048
Dy 0.4952 0.1844 0.3108
Dy 0.1844 0.3108 0.4952
Dy 0.6892 0.5048 0.8156
Dy 0.1844 0.6892 0.8736
Dy 0.6892 0.8736 0.1844
Dy 0.1264 0.8156 0.3108
Dy 0.3108 0.1264 0.8156
Dy 0.8156 0.3108 0.1264
Ni 0.3765 0.5000 0.8765
Ni 0.1235 0.6235 0.5000
Ni 0.5000 0.1235 0.6235
Ni 0.5000 0.8765 0.3765
Ni 0.6235 0.5000 0.1235
Ni 0.8765 0.3765 0.5000
Er 0.0000 0.0000 0.0000
! * ΔH_f (0 K): -0.240 eV per atom
! * density: 8.64 Mg/m³

***

# 2
! HoNpSe2 | the Alexandria database | PBE-GGA | optimized geometry; values from VASP
&SYSTEM
  ibrav = 0, nat = 4, ntyp = 3
/
ATOMIC_SPECIES
Ho 164.93 Ho.upf
Se 78.96 Se.upf
Np 237.00 Np.upf
CELL_PARAMETERS angstrom
4.0715 0.0000 0.0000
2.0357 3.5260 0.0000
2.0357 1.1753 6.6791
ATOMIC_POSITIONS crystal
Ho 0.5000 0.5000 0.5000
Se 0.7516 0.7516 0.7452
Se 0.2484 0.2484 0.2548
Np 0.0000 0.0000 0.0000
! * density: 9.70 Mg/m³
! * energy above the lowest structure with this stoichiometry: 0.00 eV/f.u.

***

# 3
! In8Ga2Hg3 | the Alexandria database | PBE-GGA | optimized geometry; values from VASP
&SYSTEM
  ibrav = 0, nat = 13, ntyp = 3
/
ATOMIC_SPECIES
Hg 200.59 Hg.upf
In 114.82 In.upf
Ga 69.72 Ga.upf
CELL_PARAMETERS angstrom
-0.4782 -3.9954 1.5597
7.7740 0.4108 3.4356
-7.7562 1.9908 6.7746
ATOMIC_POSITIONS crystal
Hg 0.0000 0.7419 0.0000
Hg 0.5000 0.0000 0.0000
Hg 0.0000 0.2581 0.0000
In 0.1978 0.5430 0.6576
In 0.6865 0.8444 0.6887
In 0.3135 0.1556 0.3113
In 0.1978 0.1146 0.6576
In 0.3768 0.5792 0.1583
In 0.8022 0.4570 0.3424
In 0.8022 0.8854 0.3424
In 0.6232 0.4208 0.8417
Ga 0.7430 0.2654 0.5308
Ga 0.2570 0.7346 0.4692
! * ΔH_f (0 K): 0.043 eV per atom
! * density: 7.92 Mg/m³

***

# 4
! KPuSn2Cl8 | the Alexandria database | PBE-GGA | optimized geometry; values from VASP
&SYSTEM
  ibrav = 0, nat = 12, ntyp = 4
/
ATOMIC_SPECIES
Cl 35.45 Cl.upf
Sn 118.71 Sn.upf
K 39.10 K.upf
Pu 244.00 Pu.upf
CELL_PARAMETERS angstrom
-5.2708 -4.1310 -1.4181
1.3956 -3.8599 5.1327
-5.0937 5.2858 5.1430
ATOMIC_POSITIONS crystal
Cl 0.6832 0.7510 0.9644
Cl 0.3600 0.2814 0.4647
Cl 0.1802 0.7812 0.7816
Cl 0.8198 0.2188 0.2184
Cl 0.1381 0.7466 0.2202
Cl 0.8619 0.2534 0.7798
Cl 0.3168 0.2490 0.0356
Cl 0.6400 0.7186 0.5353
Sn 0.4878 0.4951 0.2524
Sn 0.5122 0.5049 0.7476
K 0.0000 0.0000 0.5000
Pu 0.0000 0.0000 0.0000
! * DFT total energy: -4.644 eV per atom
! * density: 3.32 Mg/m³

***

# 5
! Y2Tm3Th2 | the Alexandria database | PBE-GGA | optimized geometry; values from VASP
&SYSTEM
  ibrav = 0, nat = 7, ntyp = 3
/
ATOMIC_SPECIES
Y 88.91 Y.upf
Th 232.04 Th.upf
Tm 168.93 Tm.upf
CELL_PARAMETERS angstrom
-1.8964 1.4111 2.6619
-1.3061 -7.5537 5.4510
6.4649 -2.6556 3.6314
ATOMIC_POSITIONS crystal
Y 0.4257 0.8581 0.7107
Y 0.5743 0.1419 0.2893
Th 0.8573 0.7115 0.4259
Th 0.1427 0.2885 0.5741
Tm 0.0000 0.0000 0.0000
Tm 0.7062 0.4337 0.8450
Tm 0.2938 0.5663 0.1550
! * ΔH_f (0 K): 0.024 eV per atom
! * density: 8.66 Mg/m³
! * energy above the lowest structure with this stoichiometry: 0.00 eV/f.u.

***

# 6
! H2I2F | the Alexandria database | PBE-GGA | optimized geometry; values from VASP
&SYSTEM
  ibrav = 0, nat = 5, ntyp = 3
/
ATOMIC_SPECIES
H 1.01 H.upf
I 126.90 I.upf
F 19.00 F.upf
CELL_PARAMETERS angstrom
-0.2684 2.6952 -5.3588
-4.1508 -3.9560 -1.7817
-4.6025 1.3726 -2.4430
ATOMIC_POSITIONS crystal
H 0.8484 0.8484 0.3033
H 0.1516 0.1516 0.6967
I 0.7500 0.2500 0.5000
I 0.2500 0.7500 0.5000
F 0.0000 0.0000 0.0000
! * density: 3.82 Mg/m³
! * energy above the lowest structure with this stoichiometry: 0.00 eV/f.u.

***

# 7
! Tb2Ga2Sn | the Alexandria database | PBE-GGA | optimized geometry; values from VASP
&SYSTEM
  ibrav = 0, nat = 10, ntyp = 3
/
ATOMIC_SPECIES
Tb 158.93 Tb.upf
Ga 69.72 Ga.upf
Sn 118.71 Sn.upf
CELL_PARAMETERS angstrom
-1.3268 -3.9196 1.4613
0.8137 -0.5012 5.9843
-9.1533 1.8748 3.3075
ATOMIC_POSITIONS crystal
Tb 0.3145 0.2668 0.1042
Tb 0.6855 0.7332 0.8958
Tb 0.5165 0.6530 0.3141
Tb 0.4835 0.3470 0.6859
Ga 0.0447 0.8144 0.0962
Ga 0.8706 0.6942 0.5647
Ga 0.1294 0.3058 0.4353
Ga 0.9553 0.1856 0.9038
Sn 0.2003 0.9293 0.6702
Sn 0.7997 0.0707 0.3298
! * ΔH_f (0 K): -0.603 eV per atom
! * density: 8.04 Mg/m³
! * energy above the lowest structure with this stoichiometry: 0.16 eV/f.u.

***

# 8
! VPOs3 | the Alexandria database | PBE-GGA | optimized geometry; values from VASP
&SYSTEM
  ibrav = 0, nat = 5, ntyp = 3
/
ATOMIC_SPECIES
P 30.97 P.upf
Os 190.23 Os.upf
V 50.94 V.upf
CELL_PARAMETERS angstrom
4.3277 0.0000 0.0000
0.0000 4.3277 0.0000
0.0000 0.0000 4.3277
ATOMIC_POSITIONS crystal
P 0.0000 0.0000 0.0000
Os 0.0000 0.5000 0.0000
Os 0.0000 0.0000 0.5000
Os 0.5000 0.0000 0.0000
V 0.5000 0.5000 0.5000
! * ΔH_f (0 K): 0.834 eV per atom
! * density: 13.37 Mg/m³
! * energy above the lowest structure with this stoichiometry: 0.00 eV/f.u.

***

# 9
! HfMn6Co6 | the Alexandria database | PBE-GGA | optimized geometry; values from VASP
&SYSTEM
  ibrav = 0, nat = 13, ntyp = 3
/
ATOMIC_SPECIES
Co 58.93 Co.upf
Mn 54.94 Mn.upf
Hf 178.49 Hf.upf
CELL_PARAMETERS angstrom
4.2961 0.0000 1.7172
2.1123 5.7525 0.9482
0.0128 -0.0413 6.2008
ATOMIC_POSITIONS crystal
Co 0.5000 0.0000 0.5000
Co 0.0000 0.5000 0.0000
Co 0.5000 0.2048 0.7952
Co 0.5000 0.7952 0.2048
Co 0.5000 0.5000 0.0000
Co 0.0000 0.0000 0.5000
Mn 0.6323 0.3677 0.3677
Mn 0.0000 0.3494 0.6506
Mn 0.0000 0.6506 0.3494
Mn 0.2804 0.2196 0.2196
Mn 0.3677 0.6323 0.6323
Mn 0.7196 0.7804 0.7804
Hf 0.0000 0.0000 0.0000
! * ΔH_f (0 K): -0.029 eV per atom
! * density: 9.34 Mg/m³

***

# 10
! Tb4Y3Ho2 | the Alexandria database | PBE-GGA | optimized geometry; values from VASP
&SYSTEM
  ibrav = 0, nat = 18, ntyp = 3
/
ATOMIC_SPECIES
Ho 164.93 Ho.upf
Tb 158.93 Tb.upf
Y 88.91 Y.upf
CELL_PARAMETERS angstrom
-3.5353 -4.7546 -1.6174
4.3110 -10.3647 0.8457
-3.9270 -6.7187 8.1342
ATOMIC_POSITIONS crystal
Ho 0.9209 0.5212 0.2394
Ho 0.0791 0.4788 0.7606
Ho 0.4209 0.2394 0.5212
Ho 0.5791 0.7606 0.4788
Tb 0.9211 0.1884 0.9045
Tb 0.5789 0.0955 0.8116
Tb 0.9215 0.8552 0.5703
Tb 0.5785 0.4297 0.1448
Tb 0.4211 0.9045 0.1884
Tb 0.0785 0.1448 0.4297
Tb 0.4215 0.5703 0.8552
Tb 0.0789 0.8116 0.0955
Y 0.2500 0.5977 0.4023
Y 0.2469 0.2648 0.0694
Y 0.7531 0.7352 0.9306
Y 0.2531 0.9306 0.7352
Y 0.7500 0.4023 0.5977
Y 0.7469 0.0694 0.2648
! * ΔH_f (0 K): 0.098 eV per atom
! * density: 7.14 Mg/m³

***

# 11
! HoLuHgPd | the Alexandria database | PBE-GGA | optimized geometry; values from VASP
&SYSTEM
  ibrav = 0, nat = 4, ntyp = 4
/
ATOMIC_SPECIES
Hg 200.59 Hg.upf
Pd 106.42 Pd.upf
Ho 164.93 Ho.upf
Lu 174.97 Lu.upf
CELL_PARAMETERS angstrom
-4.1586 -2.8537 0.3036
-0.4685 -4.1005 -2.9149
0.2420 -4.6065 2.0620
ATOMIC_POSITIONS crystal
Hg 0.5000 0.5000 0.5000
Pd 0.0000 0.0000 0.0000
Ho 0.2500 0.2500 0.2500
Lu 0.7500 0.7500 0.7500
! * ΔH_f (0 K): -0.671 eV per atom
! * density: 11.78 Mg/m³

***

# 12
! SiP3O9 | the Alexandria database | PBE-GGA | optimized geometry; values from VASP
&SYSTEM
  ibrav = 0, nat = 26, ntyp = 3
/
ATOMIC_SPECIES
O 16.00 O.upf
Si 28.09 Si.upf
P 30.97 P.upf
CELL_PARAMETERS angstrom
-4.8928 1.7517 3.9209
-3.1139 -5.3004 3.8867
2.1318 0.9131 7.6568
ATOMIC_POSITIONS crystal
O 0.6067 0.7828 0.6561
O 0.4488 0.1661 0.6276
O 0.3286 0.2173 0.3532
O 0.7487 0.0049 0.3396
O 0.1577 0.0355 0.6522
O 0.9543 0.2828 0.1561
O 0.6676 0.3882 0.5926
O 0.7574 0.6661 0.1276
O 0.9483 0.0454 0.9964
O 0.3516 0.8882 0.0926
O 0.9068 0.5049 0.8396
O 0.3322 0.3309 0.8976
O 0.7340 0.0376 0.8104
O 0.0099 0.5454 0.4964
O 0.1546 0.5355 0.1522
O 0.4393 0.8309 0.3976
O 0.4180 0.5376 0.3104
O 0.1009 0.7173 0.8532
Si 0.0338 0.4976 0.0039
Si 0.4647 0.9976 0.5039
P 0.2237 0.4523 0.3272
P 0.9706 0.0545 0.1929
P 0.5390 0.2444 0.7280
P 0.9969 0.9523 0.8272
P 0.7820 0.5545 0.6929
P 0.4886 0.7444 0.2280
! * DFT total energy: -7.099 eV per atom
! * density: 2.88 Mg/m³

***

# 13
! CaCdMo | the Alexandria database | PBE-GGA | optimized geometry; values from VASP
&SYSTEM
  ibrav = 0, nat = 3, ntyp = 3
/
ATOMIC_SPECIES
Mo 95.94 Mo.upf
Cd 112.41 Cd.upf
Ca 40.08 Ca.upf
CELL_PARAMETERS angstrom
-5.5042 -2.5683 -1.4042
-1.6766 -5.4595 -2.4993
3.0229 3.3969 4.2647
ATOMIC_POSITIONS crystal
Mo 0.6839 0.6839 0.0000
Cd 0.3121 0.3121 0.0000
Ca 0.0041 0.0041 0.0000
! * ΔH_f (0 K): 0.609 eV per atom
! * density: 6.13 Mg/m³
! * energy above the lowest structure with this stoichiometry: 0.40 eV/f.u.

***

# 14
! LiAcPrTl | the Alexandria database | PBE-GGA | optimized geometry; values from VASP
&SYSTEM
  ibrav = 0, nat = 4, ntyp = 4
/
ATOMIC_SPECIES
Li 6.94 Li.upf
Ac 227.00 Ac.upf
Tl 204.38 Tl.upf
Pr 140.91 Pr.upf
CELL_PARAMETERS angstrom
-2.6390 -4.4419 -2.2666
0.6862 -5.1332 2.2387
-4.2569 -2.4643 2.7637
ATOMIC_POSITIONS crystal
Li 0.0000 0.0000 0.0000
Ac 0.2500 0.2500 0.2500
Tl 0.5000 0.5000 0.5000
Pr 0.7500 0.7500 0.7500
! * ΔH_f (0 K): -0.178 eV per atom
! * density: 7.57 Mg/m³
! * energy above the lowest structure with this stoichiometry: 0.00 eV/f.u.

***

# 15
! OsWCl2 | the Alexandria database | PBE-GGA | optimized geometry; values from VASP
&SYSTEM
  ibrav = 0, nat = 4, ntyp = 3
/
ATOMIC_SPECIES
Cl 35.45 Cl.upf
Os 190.23 Os.upf
W 183.84 W.upf
CELL_PARAMETERS angstrom
4.3754 0.0000 0.0000
2.1877 3.7892 0.0000
2.1877 1.2631 3.5725
ATOMIC_POSITIONS crystal
Cl 0.2500 0.2500 0.2500
Cl 0.7500 0.7500 0.7500
Os 0.0000 0.0000 0.0000
W 0.5000 0.5000 0.5000
! * density: 12.48 Mg/m³
! * energy above the lowest structure with this stoichiometry: 6.83 eV/f.u.

***

# 16
! YbScAl4 | the Alexandria database | PBE-GGA | optimized geometry; values from VASP
&SYSTEM
  ibrav = 0, nat = 6, ntyp = 3
/
ATOMIC_SPECIES
Sc 44.96 Sc.upf
Al 26.98 Al.upf
Yb 173.04 Yb.upf
CELL_PARAMETERS angstrom
-3.9261 2.7853 2.5957
-3.5112 -2.6262 3.2686
0.2655 0.6942 5.4182
ATOMIC_POSITIONS crystal
Sc 0.2500 0.2500 0.2500
Al 0.6249 0.6249 0.1254
Al 0.6249 0.6249 0.6249
Al 0.1254 0.6249 0.6249
Al 0.6249 0.1254 0.6249
Yb 0.0000 0.0000 0.0000
! * ΔH_f (0 K): -0.439 eV per atom
! * density: 4.68 Mg/m³

***

# 17
! RbTeMo2Pd | the Alexandria database | PBE-GGA | optimized geometry; values from VASP
&SYSTEM
  ibrav = 0, nat = 5, ntyp = 4
/
ATOMIC_SPECIES
Mo 95.94 Mo.upf
Te 127.60 Te.upf
Rb 85.47 Rb.upf
Pd 106.42 Pd.upf
CELL_PARAMETERS angstrom
5.7287 0.0000 0.0000
0.0000 5.7287 0.0000
0.0000 0.0000 4.9645
ATOMIC_POSITIONS crystal
Mo 0.0000 0.5000 0.0000
Mo 0.5000 0.0000 0.0000
Te 0.5000 0.5000 0.5000
Rb 0.0000 0.0000 0.0000
Pd 0.0000 0.0000 0.5000
! * density: 5.21 Mg/m³
! * energy above the lowest structure with this stoichiometry: 6.49 eV/f.u.

***

# 18
! NaNb2H7O9 | the Alexandria database | PBE-GGA | optimized geometry; values from VASP
&SYSTEM
  ibrav = 0, nat = 76, ntyp = 4
/
ATOMIC_SPECIES
O 16.00 O.upf
H 1.01 H.upf
Nb 92.91 Nb.upf
Na 22.99 Na.upf
CELL_PARAMETERS angstrom
-0.5075 1.1792 -6.3670
-7.8417 -6.4896 -0.5769
-9.7426 8.0264 2.2630
ATOMIC_POSITIONS crystal
O 0.8778 0.4401 0.3349
O 0.3504 0.6650 0.3974
O 0.8052 0.0740 0.2501
O 0.2520 0.3924 0.5360
O 0.7468 0.1751 0.4388
O 0.5615 0.9149 0.4142
O 0.3052 0.9260 0.2499
O 0.3834 0.2488 0.3219
O 0.9724 0.8295 0.3819
O 0.6166 0.7512 0.6781
O 0.3778 0.5599 0.1651
O 0.1388 0.0479 0.4295
O 0.9385 0.9149 0.9142
O 0.6496 0.3350 0.6026
O 0.1222 0.5599 0.6651
O 0.1496 0.6650 0.8974
O 0.7480 0.6076 0.4640
O 0.1166 0.2488 0.8219
O 0.7520 0.6076 0.9640
O 0.2532 0.8249 0.5612
O 0.4385 0.0851 0.5858
O 0.3612 0.0479 0.9295
O 0.7532 0.1751 0.9388
O 0.6948 0.0740 0.7501
O 0.0276 0.1705 0.6181
O 0.4724 0.1705 0.1181
O 0.8612 0.9521 0.5705
O 0.6388 0.9521 0.0705
O 0.6222 0.4401 0.8349
O 0.0615 0.0851 0.0858
O 0.2480 0.3924 0.0360
O 0.2468 0.8249 0.0612
O 0.8504 0.3350 0.1026
O 0.5276 0.8295 0.8819
O 0.8834 0.7512 0.1781
O 0.1948 0.9260 0.7499
H 0.5116 0.2252 0.3633
H 0.2847 0.1257 0.8893
H 0.6608 0.3478 0.8657
H 0.0889 0.2234 0.7522
H 0.4884 0.7748 0.6367
H 0.5889 0.7766 0.7478
H 0.6719 0.6901 0.9372
H 0.2153 0.1257 0.3893
H 0.3392 0.6522 0.1343
H 0.1608 0.6522 0.6343
H 0.1719 0.3099 0.5628
H 0.4111 0.2234 0.2522
H 0.6042 0.6284 0.4396
H 0.9884 0.2252 0.8633
H 0.9111 0.7766 0.2478
H 0.3281 0.3099 0.0628
H 0.3281 0.5043 0.1128
H 0.1042 0.3716 0.0604
H 0.0116 0.7748 0.1367
H 0.6719 0.4957 0.8872
H 0.8392 0.3478 0.3657
H 0.8281 0.4957 0.3872
H 0.3958 0.3716 0.5604
H 0.8281 0.6901 0.4372
H 0.1719 0.5043 0.6128
H 0.7847 0.8743 0.6107
H 0.7153 0.8743 0.1107
H 0.8958 0.6284 0.9396
Nb 0.7767 0.1676 0.0944
Nb 0.1839 0.0005 0.6076
Nb 0.3161 0.0005 0.1076
Nb 0.7233 0.1676 0.5944
Nb 0.2767 0.8324 0.4056
Nb 0.2233 0.8324 0.9056
Nb 0.6839 0.9995 0.8924
Nb 0.8161 0.9995 0.3924
Na 0.7521 0.5343 0.6573
Na 0.2521 0.4657 0.8427
Na 0.2479 0.4657 0.3427
Na 0.7479 0.5343 0.1573
! * DFT total energy: -6.414 eV per atom
! * density: 2.86 Mg/m³

***

# 19
! AcLa2Ag2 | the Alexandria database | PBE-GGA | optimized geometry; values from VASP
&SYSTEM
  ibrav = 0, nat = 10, ntyp = 3
/
ATOMIC_SPECIES
Ag 107.87 Ag.upf
Ac 227.00 Ac.upf
La 138.91 La.upf
CELL_PARAMETERS angstrom
-0.5433 -0.6958 5.0554
0.2240 -5.3795 -0.7164
11.8105 1.5319 1.4802
ATOMIC_POSITIONS crystal
Ag 0.2500 0.3648 0.9979
Ag 0.7500 0.2227 0.3618
Ag 0.7500 0.6352 0.0021
Ag 0.2500 0.7773 0.6382
Ac 0.7500 0.3022 0.7541
Ac 0.2500 0.6978 0.2459
La 0.7500 0.7508 0.4934
La 0.7500 0.1590 0.1153
La 0.2500 0.2492 0.5066
La 0.2500 0.8410 0.8847
! * ΔH_f (0 K): -0.130 eV per atom
! * density: 7.19 Mg/m³
! * energy above the lowest structure with this stoichiometry: 0.30 eV/f.u.

***

# 20
! Bi2SbTe2Pd7 | the Alexandria database | PBE-GGA | optimized geometry; values from VASP
&SYSTEM
  ibrav = 0, nat = 12, ntyp = 4
/
ATOMIC_SPECIES
Pd 106.42 Pd.upf
Sb 121.76 Sb.upf
Te 127.60 Te.upf
Bi 208.98 Bi.upf
CELL_PARAMETERS angstrom
3.9950 -0.0033 0.0254
0.0016 3.9950 0.0254
1.8999 1.8976 16.4286
ATOMIC_POSITIONS crystal
Pd 0.0643 0.5642 0.8727
Pd 0.7082 0.7082 0.5886
Pd 0.2918 0.2918 0.4114
Pd 0.4358 0.9357 0.1273
Pd 0.5642 0.0643 0.8727
Pd 0.5000 0.5000 0.0000
Pd 0.9357 0.4358 0.1273
Sb 0.0000 0.0000 0.0000
Te 0.2132 0.2132 0.5771
Te 0.7868 0.7868 0.4229
Bi 0.3774 0.3774 0.2432
Bi 0.6226 0.6226 0.7568
! * DFT total energy: -4.842 eV per atom
! * density: 9.77 Mg/m³

***

Quick rundown of M_tot, same order as above: 0.000 1.136 0.000 0.417 0.000 0.000 0.000 0.331 0.539 0.000 0.000 0.077 0.000 0.000 0.000 0.022 1.898 0.000 0.000 0.000 μB per atom